(1)
# K6ReF12 | Alexandria | GGA-PBE | optimized geometry
# total magnetic moment = 2.3 μB/f.u.
# VASP energy = -4.633 eV per atom
# uncorrected formation energy = -236.3 kJ per mole of atoms
data_K6ReF12
_cell_length_a 11.6416
_cell_length_b 11.6416
_cell_length_c 11.0055
_cell_angle_alpha 90.00
_cell_angle_beta 90.00
_cell_angle_gamma 120.00
_space_group_name_H-M_alt 'R -3'
_space_group_IT_number 148
_space_group_name_Hall '-R 3'
loop_
_atom_site_label
_atom_site_type_symbol
_atom_site_fract_x
_atom_site_fract_y
_atom_site_fract_z
K1 K 0.0127 0.7846 0.1275
Re1 Re 0.0000 0.0000 0.5000
F1 F 0.0088 0.7857 0.8909
F2 F 0.0091 0.8718 0.4011



(2)
# KRe3F | Alexandria | GGA-PBE | optimized geometry
# total magnetic moment = 2.6 μB/f.u.
# VASP energy = -5.907 eV per atom
# uncorrected formation energy = 208.0 kJ per mole of atoms
# energy relative to the lowest polymorph listed for this composition = 0.00 eV per formula unit
data_KRe3F
_cell_length_a 4.438
_cell_length_b 4.438
_cell_length_c 4.438
_cell_angle_alpha 90.00
_cell_angle_beta 90.00
_cell_angle_gamma 90.00
_space_group_name_H-M_alt 'P m -3 m'
_space_group_IT_number 221
_space_group_name_Hall '-P 4 2 3'
loop_
_atom_site_label
_atom_site_type_symbol
_atom_site_fract_x
_atom_site_fract_y
_atom_site_fract_z
K1 K 0.000 0.000 0.000
Re1 Re 0.000 0.500 0.500
F1 F 0.500 0.500 0.500



(3)
# KReF2 | Alexandria | GGA-PBE | optimized geometry
# total magnetic moment = 5.0 μB/f.u.
# VASP energy = -4.776 eV per atom
# uncorrected formation energy = -43.8 kJ per mole of atoms
# energy relative to the lowest polymorph listed for this composition = 3.43 eV per formula unit
data_KReF2
_cell_length_a 6.541
_cell_length_b 6.541
_cell_length_c 8.016
_cell_angle_alpha 90.00
_cell_angle_beta 90.00
_cell_angle_gamma 90.00
_space_group_name_H-M_alt 'I -4 2 d'
_space_group_IT_number 122
_space_group_name_Hall 'I -4 2bw'
loop_
_atom_site_label
_atom_site_type_symbol
_atom_site_fract_x
_atom_site_fract_y
_atom_site_fract_z
K1 K 0.000 0.000 0.000
Re1 Re 0.000 0.000 0.500
F1 F 0.213 0.250 0.625



(4)
# K3ReF7 | Alexandria | GGA-PBE | optimized geometry
# total magnetic moment = 1.0 μB/f.u.
# VASP energy = -5.040 eV per atom
# uncorrected formation energy = -233.3 kJ per mole of atoms
data_K3ReF7
_cell_length_a 8.496
_cell_length_b 8.446
_cell_length_c 6.742
_cell_angle_alpha 90.00
_cell_angle_beta 124.66
_cell_angle_gamma 90.00
_space_group_name_H-M_alt 'C 1 m 1'
_space_group_IT_number 8
loop_
_space_group_symop_operation_xyz
'x,y,z'
'x,-y,z'
'x+1/2,y+1/2,z'
'x+1/2,-y+1/2,z'
loop_
_atom_site_label
_atom_site_type_symbol
_atom_site_fract_x
_atom_site_fract_y
_atom_site_fract_z
K1 K 0.000 0.000 0.000
K2 K 0.488 0.232 0.471
Re1 Re 0.033 0.500 0.003
F1 F 0.112 0.287 0.188
F2 F 0.135 0.500 0.787
F3 F 0.325 0.500 0.239
F4 F 0.350 0.157 0.750
F5 F 0.363 0.000 0.129



(5)
# K3ReF | Alexandria | GGA-PBE | optimized geometry
# total magnetic moment = 3.3 μB/f.u.
# VASP energy = -3.411 eV per atom
# uncorrected formation energy = 10.8 kJ per mole of atoms
# energy relative to the lowest polymorph listed for this composition = 0.00 eV per formula unit
data_K3ReF
_cell_length_a 5.357
_cell_length_b 5.357
_cell_length_c 5.357
_cell_angle_alpha 90.00
_cell_angle_beta 90.00
_cell_angle_gamma 90.00
_space_group_name_H-M_alt 'P m -3 m'
_space_group_IT_number 221
_space_group_name_Hall '-P 4 2 3'
loop_
_atom_site_label
_atom_site_type_symbol
_atom_site_fract_x
_atom_site_fract_y
_atom_site_fract_z
K1 K 0.000 0.000 0.500
Re1 Re 0.500 0.500 0.500
F1 F 0.000 0.000 0.000



(6)
# K2ReF | Alexandria | GGA-PBE | optimized geometry
# total magnetic moment = 4.0 μB/f.u.
# VASP energy = -3.509 eV per atom
# uncorrected formation energy = 59.8 kJ per mole of atoms
# energy relative to the lowest polymorph listed for this composition = 1.37 eV per formula unit
data_K2ReF
_cell_length_a 7.969
_cell_length_b 7.969
_cell_length_c 7.969
_cell_angle_alpha 90.00
_cell_angle_beta 90.00
_cell_angle_gamma 90.00
_space_group_name_H-M_alt 'F m -3 m'
_space_group_IT_number 225
_space_group_name_Hall '-F 4 2 3'
loop_
_atom_site_label
_atom_site_type_symbol
_atom_site_fract_x
_atom_site_fract_y
_atom_site_fract_z
K1 K 0.250 0.250 0.250
Re1 Re 0.000 0.000 0.000
F1 F 0.000 0.000 0.500